1.
# ScTlCu (GGA-PBE, relaxed)
# Calculated formation energy = -0.1147 eV per atom
data_ScTlCu
_space_group_name_H-M_alt 'F -4 3 m'
_space_group_IT_number 216
_space_group_name_Hall 'F -4 2 3'
_cell_length_a 6.340
_cell_length_b 6.340
_cell_length_c 6.340
_cell_angle_alpha 90.00
_cell_angle_beta 90.00
_cell_angle_gamma 90.00
loop_
_atom_site_label
_atom_site_type_symbol
_atom_site_fract_x
_atom_site_fract_y
_atom_site_fract_z
_atom_site_occupancy
Sc1 Sc 0.000 0.000 0.000 1
Tl1 Tl 0.000 0.000 0.500 1
Cu1 Cu 0.250 0.250 0.750 1


2.
# Sc8TlCu2 (GGA-PBE, relaxed)
# Calculated formation energy = -0.1077 eV per atom
# Polymorph energy (0 for the lowest one) = 0 meV/atom
data_Sc8TlCu2
_space_group_name_H-M_alt 'C 1 2/m 1'
_space_group_IT_number 12
_cell_length_a 16.593
_cell_length_b 3.368
_cell_length_c 8.882
_cell_angle_alpha 90.00
_cell_angle_beta 99.64
_cell_angle_gamma 90.00
loop_
_space_group_symop_operation_xyz
'x,y,z'
'-x,-y,-z'
'-x,y,-z'
'x,-y,z'
'x+1/2,y+1/2,z'
'-x+1/2,-y+1/2,-z'
'-x+1/2,y+1/2,-z'
'x+1/2,-y+1/2,z'
loop_
_atom_site_label
_atom_site_type_symbol
_atom_site_fract_x
_atom_site_fract_y
_atom_site_fract_z
_atom_site_occupancy
Sc1 Sc 0.025 0.000 0.181 1
Sc2 Sc 0.137 0.000 0.681 1
Sc3 Sc 0.146 0.500 0.998 1
Sc4 Sc 0.179 0.500 0.392 1
Tl1 Tl 0.000 0.500 0.500 1
Cu1 Cu 0.239 0.000 0.209 1


Q: The highest calculated formation energy belongs to which entry?
A: Sc8TlCu2


Q: calculated formation energy of number 1 (ScTlCu)?
A: -0.1147 eV per atom